# 1
Entry from Alexandria: Mo4PbCl at its PBEsol-relaxed geometry (SCAN).

Lattice parameters (Å, degrees): 5.3258 5.3258 5.3258 60.00 60.00 60.00
Closest atoms and distances in Å follow each position.
Element x y z (fractional)
Mo 0.3697 0.3697 0.8910  6 Mo 2.55-2.78
Mo 0.3697 0.8910 0.3697  6 Mo 2.55-2.78
Mo 0.8910 0.3697 0.3697  6 Mo 2.55-2.78
Mo 0.3697 0.3697 0.3697  6 Mo 2.55-2.78
Cl 0.0000 0.0000 0.0000  12 Mo 3.11, 4 Pb 3.26
Pb 0.7500 0.7500 0.7500  12 Mo 3.14, 4 Cl 3.26

density	9.74	g cm⁻³
energy	-36.2934	eV per atom
spin magnetization	0.00	μB per atom
formation energy (no corrections)	0.923	eV per atom



# 2
Entry from Alexandria: Mo2PdCl2 at its PBEsol-relaxed geometry (SCAN).

Lattice parameters (Å, degrees): 4.1948 4.1948 5.4630 112.58 112.58 90.00
Closest atoms and distances in Å follow each position.
Element x y z (fractional)
Pd 0.0000 0.0000 0.0000  8 Mo 3.11, 10 Cl 3.23-3.32
Mo 0.7500 0.2500 0.5000  4 Cl 2.33
Mo 0.2500 0.7500 0.5000  4 Cl 2.33
Cl 0.3614 0.3614 0.7229  4 Mo 2.33, 1 Cl 2.54
Cl 0.6385 0.6385 0.2771  4 Mo 2.33, 1 Cl 2.54

density	7.59	g cm⁻³
energy	-23.0206	eV per atom
spin magnetization	0.00	μB per atom
formation energy (no corrections)	0.680	eV per atom



# 3
Entry from Alexandria: MoPdCl2 at its PBEsol-relaxed geometry (SCAN).

Lattice parameters (Å, degrees): 4.2262 4.2262 8.2013 104.93 104.93 90.00
Closest atoms and distances in Å follow each position.
Element x y z (fractional)
Mo 0.7500 0.2500 0.5000  4 Cl 2.39
Mo 0.5000 0.5000 0.0000  4 Cl 2.39
Pd 0.0000 0.0000 0.0000  4 Cl 2.47
Pd 0.2500 0.7500 0.5000  4 Cl 2.47
Cl 0.3970 0.8750 0.2500  2 Mo 2.39, 2 Pd 2.47
Cl 0.6250 0.6030 0.7500  2 Mo 2.39, 2 Pd 2.47
Cl 0.1250 0.1470 0.7500  2 Mo 2.39, 2 Pd 2.47
Cl 0.8530 0.3750 0.2500  2 Mo 2.39, 2 Pd 2.47

density	6.65	g cm⁻³
energy	-20.5266	eV per atom
spin magnetization	0.00	μB per atom
formation energy (no corrections)	0.377	eV per atom



# 4
Entry from Alexandria: SiMo2PdCl at its PBEsol-relaxed geometry (SCAN).

Lattice parameters (Å, degrees): 4.4485 4.5600 4.5600 90.00 90.00 90.00
Closest atoms and distances in Å follow each position.
Element x y z (fractional)
Cl 0.5000 0.0000 0.0000  2 Si 2.22
Si 0.0000 0.0000 0.0000  2 Cl 2.22, 4 Mo 2.28
Mo 0.0000 0.0000 0.5000  2 Si 2.28
Mo 0.0000 0.5000 0.0000  2 Si 2.28
Pd 0.5000 0.5000 0.5000  8 Mo 3.19, 4 Cl 3.22

density	6.50	g cm⁻³
energy	-22.5338	eV per atom
spin magnetization	0.00	μB per atom
formation energy (no corrections)	1.574	eV per atom



# 5
Entry from Alexandria: MoPt2Cl at its PBEsol-relaxed geometry (SCAN).

Lattice parameters (Å, degrees): 4.4678 4.4678 4.4678 60.00 60.00 60.00
Closest atoms and distances in Å follow each position.
Element x y z (fractional)
Pt 0.7500 0.7500 0.7500  4 Mo 2.74, 4 Cl 2.74
Pt 0.2500 0.2500 0.2500  4 Mo 2.74, 4 Cl 2.74
Cl 0.0000 0.0000 0.0000  8 Pt 2.74
Mo 0.5000 0.5000 0.5000  8 Pt 2.74

density	13.73	g cm⁻³
energy	-45.1504	eV per atom
energy above the most stable polymorph in this dataset	0.322	eV/atom
spin magnetization	0.32	μB per atom
formation energy (no corrections)	0.662	eV per atom



# 6
Entry from Alexandria: MoPt2Cl at its PBEsol-relaxed geometry (SCAN).

Lattice parameters (Å, degrees): 3.8784 3.8784 4.9220 113.20 113.20 90.00
Closest atoms and distances in Å follow each position.
Element x y z (fractional)
Cl 0.5000 0.5000 0.0000  4 Mo 2.74, 8 Pt 2.82
Pt 0.2500 0.7500 0.5000  4 Pt 2.74, 4 Cl 2.82, 4 Mo 2.82
Pt 0.7500 0.2500 0.5000  4 Pt 2.74, 4 Cl 2.82, 4 Mo 2.82
Mo 0.0000 0.0000 0.0000  4 Cl 2.74, 8 Pt 2.82

density	14.09	g cm⁻³
energy	-45.2226	eV per atom
energy above the most stable polymorph in this dataset	0.250	eV/atom
spin magnetization	0.43	μB per atom
formation energy (no corrections)	0.590	eV per atom



# 7
Entry from Alexandria: MoPt2Cl at its PBEsol-relaxed geometry (SCAN).

Lattice parameters (Å, degrees): 2.8098 3.9471 5.5509 90.00 90.00 90.00
Closest atoms and distances in Å follow each position.
Element x y z (fractional)
Mo 0.5000 0.5000 0.5000  8 Pt 2.77, 2 Cl 2.78, 2 Mo 2.81
Pt 0.0000 0.0000 0.7404  4 Pt 2.67-2.88, 4 Mo 2.77, 4 Cl 2.82
Pt 0.0000 0.0000 0.2596  4 Pt 2.67-2.88, 4 Mo 2.77, 4 Cl 2.82
Cl 0.5000 0.5000 0.0000  2 Mo 2.78, 2 Cl 2.81, 8 Pt 2.82

density	14.07	g cm⁻³
energy	-45.4728	eV per atom
energy above the most stable polymorph in this dataset	0.000	eV/atom
spin magnetization	0.00	μB per atom
formation energy (no corrections)	0.340	eV per atom



# 8
Entry from Alexandria: MoPt2Cl at its PBEsol-relaxed geometry (SCAN).

Lattice parameters (Å, degrees): 2.7539 4.4902 5.1490 104.96 90.00 90.00
Closest atoms and distances in Å follow each position.
Element x y z (fractional)
Pt 0.0000 0.0000 0.0000  6 Pt 2.63-2.75, 4 Cl 2.92, 2 Mo 2.95
Pt 0.5000 0.5000 0.0000  6 Pt 2.63-2.75, 4 Mo 2.92, 2 Cl 2.95
Mo 0.0000 0.5000 0.5000  4 Cl 2.63, 2 Mo 2.75, 6 Pt 2.92-2.95
Cl 0.5000 0.0000 0.5000  4 Mo 2.63, 2 Cl 2.75, 6 Pt 2.92-2.95

density	14.08	g cm⁻³
energy	-45.3446	eV per atom
energy above the most stable polymorph in this dataset	0.128	eV/atom
spin magnetization	0.00	μB per atom
formation energy (no corrections)	0.468	eV per atom



# 9
Entry from Alexandria: MoPtS2Cl at its PBEsol-relaxed geometry (SCAN).

Lattice parameters (Å, degrees): 4.5353 4.6051 4.6051 90.00 90.00 90.00
Closest atoms and distances in Å follow each position.
Element x y z (fractional)
S 0.0000 0.5000 0.0000  2 Mo 2.30
S 0.0000 0.0000 0.5000  2 Mo 2.30
Mo 0.0000 0.0000 0.0000  2 Cl 2.27, 4 S 2.30
Pt 0.5000 0.5000 0.5000  8 S 3.23, 4 Cl 3.26
Cl 0.5000 0.0000 0.0000  2 Mo 2.27

density	6.74	g cm⁻³
energy	-25.8706	eV per atom
spin magnetization	0.00	μB per atom
formation energy (no corrections)	0.592	eV per atom



# 10
Entry from Alexandria: Rb3Mo2Cl9 at its PBEsol-relaxed geometry (SCAN).

Lattice parameters (Å, degrees): 7.0517 7.0517 17.3788 90.00 90.00 120.00
Closest atoms and distances in Å follow each position.
Element x y z (fractional)
Mo 0.6667 0.3333 0.1713  6 Cl 2.38-2.45
Mo 0.3333 0.6667 0.6713  6 Cl 2.38-2.45
Mo 0.3333 0.6667 0.8287  6 Cl 2.38-2.45
Mo 0.6667 0.3333 0.3287  6 Cl 2.38-2.45
Cl 0.1736 0.3472 0.9071  1 Mo 2.38
Cl 0.6528 0.8264 0.5929  1 Mo 2.38
Cl 0.5002 0.4998 0.2500  2 Mo 2.45
Cl 0.8264 0.1736 0.0929  1 Mo 2.38
Cl 0.1736 0.3472 0.5929  1 Mo 2.38
Cl 0.8264 0.6528 0.4071  1 Mo 2.38
Cl 0.4998 0.9996 0.7500  2 Mo 2.45
Cl 0.0004 0.5002 0.7500  2 Mo 2.45
Cl 0.8264 0.1736 0.4071  1 Mo 2.38
Cl 0.9996 0.4998 0.2500  2 Mo 2.45
Cl 0.4998 0.5002 0.7500  2 Mo 2.45
Cl 0.1736 0.8264 0.9071  1 Mo 2.38
Cl 0.6528 0.8264 0.9071  1 Mo 2.38
Cl 0.3472 0.1736 0.4071  1 Mo 2.38
Cl 0.8264 0.6528 0.0929  1 Mo 2.38
Cl 0.5002 0.0004 0.2500  2 Mo 2.45
Cl 0.3472 0.1736 0.0929  1 Mo 2.38
Cl 0.1736 0.8264 0.5929  1 Mo 2.38
Rb 0.6667 0.3333 0.9335  12 Cl 3.39-3.79
Rb 0.6667 0.3333 0.5665  12 Cl 3.39-3.79
Rb 0.3333 0.6667 0.0665  12 Cl 3.39-3.79
Rb 0.0000 0.0000 0.2500  12 Cl 3.46-3.53
Rb 0.3333 0.6667 0.4335  12 Cl 3.39-3.79
Rb 0.0000 0.0000 0.7500  12 Cl 3.46-3.53

density	3.41	g cm⁻³
energy	-16.1740	eV per atom
spin magnetization	0.28	μB per atom
formation energy (no corrections)	-1.618	eV per atom



# 11
Entry from Alexandria: RbMoCl2 at its PBEsol-relaxed geometry (SCAN).

Lattice parameters (Å, degrees): 5.1714 5.1714 5.1714 60.00 60.00 60.00
Closest atoms and distances in Å follow each position.
Element x y z (fractional)
Cl 0.7500 0.7500 0.7500  4 Mo 3.17, 4 Rb 3.17
Cl 0.2500 0.2500 0.2500  4 Rb 3.17, 4 Mo 3.17
Mo 0.5000 0.5000 0.5000  8 Cl 3.17
Rb 0.0000 0.0000 0.0000  8 Cl 3.17

density	4.28	g cm⁻³
energy	-18.3156	eV per atom
energy above the most stable polymorph in this dataset	0.000	eV/atom
spin magnetization	1.25	μB per atom
formation energy (no corrections)	-0.421	eV per atom



# 12
Entry from Alexandria: RbMo3Cl7 at its PBEsol-relaxed geometry (SCAN).

Lattice parameters (Å, degrees): 9.4291 12.2087 12.2087 74.23 69.38 69.38
Closest atoms and distances in Å follow each position.
Element x y z (fractional)
Cl 0.7773 0.6134 0.8501  3 Mo 2.44-2.45
Cl 0.2227 0.3866 0.1499  3 Mo 2.44-2.45
Cl 0.8678 0.9615 0.1740  1 Mo 2.43
Cl 0.2773 0.8501 0.6134  3 Mo 2.44-2.45
Cl 0.1322 0.0385 0.8260  1 Mo 2.43
Cl 0.5771 0.8164 0.3506  3 Mo 2.45-2.46
Cl 0.3113 0.6585 0.0390  1 Mo 2.41
Cl 0.8343 0.8477 0.4790  3 Mo 2.45-2.46
Cl 0.6322 0.8260 0.0385  1 Mo 2.43
Cl 0.1887 0.9610 0.3415  1 Mo 2.41
Cl 0.0771 0.3506 0.8164  3 Mo 2.45-2.46
Cl 0.8624 0.3839 0.3754  1 Mo 2.45
Cl 0.3624 0.3754 0.3839  1 Mo 2.45
Cl 0.6376 0.6246 0.6161  1 Mo 2.45
Cl 0.0329 0.7430 0.8799  3 Mo 2.45-2.46
Cl 0.4229 0.1836 0.6494  3 Mo 2.45-2.46
Cl 0.3343 0.4790 0.8477  3 Mo 2.45-2.46
Cl 0.9229 0.6494 0.1836  3 Mo 2.45-2.46
Cl 0.4671 0.1201 0.2570  3 Mo 2.45-2.46
Cl 0.3678 0.1740 0.9615  1 Mo 2.43
Cl 0.9671 0.2570 0.1201  3 Mo 2.45-2.46
Cl 0.7227 0.1499 0.3866  3 Mo 2.44-2.45
Cl 0.6887 0.3415 0.9610  1 Mo 2.41
Cl 0.5329 0.8799 0.7430  3 Mo 2.45-2.46
Cl 0.8113 0.0390 0.6585  1 Mo 2.41
Cl 0.6657 0.5210 0.1523  3 Mo 2.45-2.46
Cl 0.1657 0.1523 0.5210  3 Mo 2.45-2.46
Cl 0.1376 0.6161 0.6246  1 Mo 2.45
Rb 0.2500 0.9294 0.0706  6 Cl 3.26-3.33
Rb 0.0000 0.5000 0.5000  4 Cl 3.14-3.18
Rb 0.5000 0.5000 0.5000  4 Cl 3.14-3.18
Rb 0.7500 0.0706 0.9294  6 Cl 3.26-3.33
Mo 0.6357 0.0163 0.5687  5 Cl 2.41-2.45, 4 Mo 2.59-2.60
Mo 0.8407 0.6396 0.0171  5 Cl 2.43-2.46, 4 Mo 2.59-2.60
Mo 0.3643 0.9837 0.4313  5 Cl 2.41-2.45, 4 Mo 2.59-2.60
Mo 0.1357 0.5687 0.0163  5 Cl 2.41-2.45, 4 Mo 2.59-2.60
Mo 0.9414 0.4507 0.1602  5 Cl 2.45-2.46, 4 Mo 2.59-2.60
Mo 0.6593 0.9829 0.3604  5 Cl 2.43-2.46, 4 Mo 2.59-2.60
Mo 0.4414 0.1602 0.4507  5 Cl 2.45-2.46, 4 Mo 2.59-2.60
Mo 0.1593 0.3604 0.9829  5 Cl 2.43-2.46, 4 Mo 2.59-2.60
Mo 0.0586 0.5493 0.8398  5 Cl 2.45-2.46, 4 Mo 2.59-2.60
Mo 0.8643 0.4313 0.9837  5 Cl 2.41-2.45, 4 Mo 2.59-2.60
Mo 0.5586 0.8398 0.5493  5 Cl 2.45-2.46, 4 Mo 2.59-2.60
Mo 0.3407 0.0171 0.6396  5 Cl 2.43-2.46, 4 Mo 2.59-2.60

density	3.40	g cm⁻³
energy	-17.7618	eV per atom
spin magnetization	0.00	μB per atom
formation energy (no corrections)	-1.285	eV per atom



# 13
Entry from Alexandria: RbMoCl2 at its PBEsol-relaxed geometry (SCAN).

Lattice parameters (Å, degrees): 3.2360 3.2360 9.5951 80.29 80.29 60.00
Closest atoms and distances in Å follow each position.
Element x y z (fractional)
Cl 0.9178 0.9178 0.2466  1 Mo 2.32
Cl 0.0822 0.0822 0.7534  1 Mo 2.32
Mo 0.0000 0.0000 0.0000  2 Cl 2.32
Rb 0.5000 0.5000 0.5000  6 Cl 3.03, 6 Rb 3.24

density	4.91	g cm⁻³
energy	-18.1897	eV per atom
energy above the most stable polymorph in this dataset	0.126	eV/atom
spin magnetization	0.00	μB per atom
formation energy (no corrections)	-0.295	eV per atom